(1)
# Al4ZnGa5 PBE optimized geometry
data_Al4ZnGa5
_chemical_formula_sum 'Al4 Zn1 Ga5'
_cell_length_a 5.250
_cell_length_b 6.469
_cell_length_c 6.469
_cell_angle_alpha 80.52
_cell_angle_beta 66.06
_cell_angle_gamma 66.06
_symmetry_space_group_name_H-M 'P 1'
_symmetry_Int_Tables_number 1
loop_
_symmetry_equiv_pos_as_xyz
'x,y,z'
loop_
_atom_site_label
_atom_site_fract_x
_atom_site_fract_y
_atom_site_fract_z
Al1 0.582 0.622 0.111
Al2 0.205 0.111 0.378
Al3 0.315 0.378 0.889
Ga1 0.007 0.619 0.270
Ga2 0.626 0.270 0.381
Ga3 0.717 0.000 0.000
Al4 0.693 0.889 0.622
Ga4 0.896 0.381 0.730
Zn1 0.191 0.000 0.000
Ga5 0.277 0.730 0.619
# calculated formation energy	0.09	eV per atom
# space group	No. 79

(2)
# AlZnGa2 PBE optimized geometry
data_AlZnGa2
_chemical_formula_sum 'Al4 Zn4 Ga8'
_cell_length_a 5.070
_cell_length_b 5.076
_cell_length_c 10.939
_cell_angle_alpha 90.00
_cell_angle_beta 90.00
_cell_angle_gamma 90.00
_symmetry_space_group_name_H-M 'P 1'
_symmetry_Int_Tables_number 1
loop_
_symmetry_equiv_pos_as_xyz
'x,y,z'
loop_
_atom_site_label
_atom_site_fract_x
_atom_site_fract_y
_atom_site_fract_z
Zn1 0.750 0.251 0.625
Ga1 0.750 0.738 0.750
Al1 0.250 0.235 0.500
Ga2 0.250 0.262 0.250
Zn2 0.750 0.249 0.125
Ga3 0.250 0.767 0.123
Ga4 0.250 0.238 0.750
Ga5 0.750 0.762 0.250
Zn3 0.250 0.751 0.875
Ga6 0.250 0.733 0.623
Al2 0.250 0.265 0.000
Ga7 0.750 0.267 0.377
Zn4 0.250 0.749 0.375
Ga8 0.750 0.233 0.877
Al3 0.750 0.765 0.500
Al4 0.750 0.735 0.000
# calculated formation energy	0.06	eV per atom
# space group	No. 62

(3)
# AlZn5Ga PBE optimized geometry
data_AlZn5Ga
_chemical_formula_sum 'Al2 Zn10 Ga2'
_cell_length_a 5.926
_cell_length_b 5.926
_cell_length_c 9.813
_cell_angle_alpha 70.16
_cell_angle_beta 70.16
_cell_angle_gamma 47.59
_symmetry_space_group_name_H-M 'P 1'
_symmetry_Int_Tables_number 1
loop_
_symmetry_equiv_pos_as_xyz
'x,y,z'
loop_
_atom_site_label
_atom_site_fract_x
_atom_site_fract_y
_atom_site_fract_z
Al1 0.258 0.742 0.250
Zn1 0.349 0.357 0.530
Zn2 0.259 0.240 0.319
Zn3 0.741 0.760 0.681
Al2 0.742 0.258 0.750
Zn4 0.244 0.756 0.750
Zn5 0.756 0.244 0.250
Zn6 0.357 0.349 0.030
Ga1 0.000 0.000 0.000
Zn7 0.760 0.741 0.181
Zn8 0.651 0.643 0.470
Ga2 0.000 0.000 0.500
Zn9 0.240 0.259 0.819
Zn10 0.643 0.651 0.970
# calculated formation energy	0.11	eV per atom
# space group	No. 15

(4)
# AlZn3Ga6 PBE optimized geometry
data_AlZn3Ga6
_chemical_formula_sum 'Al2 Zn6 Ga12'
_cell_length_a 6.028
_cell_length_b 8.494
_cell_length_c 8.494
_cell_angle_alpha 120.01
_cell_angle_beta 90.00
_cell_angle_gamma 90.00
_symmetry_space_group_name_H-M 'P 1'
_symmetry_Int_Tables_number 1
loop_
_symmetry_equiv_pos_as_xyz
'x,y,z'
loop_
_atom_site_label
_atom_site_fract_x
_atom_site_fract_y
_atom_site_fract_z
Ga1 0.722 0.524 0.103
Ga2 0.668 0.245 0.755
Al1 0.039 0.154 0.846
Zn1 0.975 0.604 0.396
Ga3 0.722 0.897 0.476
Ga4 0.182 0.311 0.340
Zn2 0.390 0.296 0.058
Zn3 0.890 0.704 0.942
Zn4 0.475 0.396 0.604
Ga5 0.222 0.103 0.524
Ga6 0.716 0.026 0.974
Ga7 0.168 0.755 0.245
Ga8 0.682 0.689 0.660
Zn5 0.890 0.058 0.296
Zn6 0.390 0.942 0.704
Ga9 0.682 0.340 0.311
Al2 0.539 0.846 0.154
Ga10 0.216 0.974 0.026
Ga11 0.182 0.660 0.689
Ga12 0.222 0.476 0.897
# calculated formation energy	0.07	eV per atom
# space group	No. 36

(5)
# AlZn8Ga6 PBE optimized geometry
data_AlZn8Ga6
_chemical_formula_sum 'Al1 Zn8 Ga6'
_cell_length_a 6.492
_cell_length_b 6.492
_cell_length_c 6.492
_cell_angle_alpha 80.35
_cell_angle_beta 80.35
_cell_angle_gamma 80.35
_symmetry_space_group_name_H-M 'P 1'
_symmetry_Int_Tables_number 1
loop_
_symmetry_equiv_pos_as_xyz
'x,y,z'
loop_
_atom_site_label
_atom_site_fract_x
_atom_site_fract_y
_atom_site_fract_z
Ga1 0.804 0.560 0.415
Zn1 0.155 0.607 0.953
Zn2 0.607 0.953 0.155
Zn3 0.047 0.845 0.393
Zn4 0.211 0.211 0.211
Ga2 0.560 0.415 0.804
Zn5 0.953 0.155 0.607
Zn6 0.845 0.393 0.047
Zn7 0.789 0.789 0.789
Ga3 0.415 0.804 0.560
Al1 0.000 0.000 0.000
Ga4 0.585 0.196 0.440
Zn8 0.393 0.047 0.845
Ga5 0.196 0.440 0.585
Ga6 0.440 0.585 0.196
# calculated formation energy	0.07	eV per atom
# space group	No. 148

(6)
# Al4Zn2Ga5 PBE optimized geometry
data_Al4Zn2Ga5
_chemical_formula_sum 'Al4 Zn2 Ga5'
_cell_length_a 2.867
_cell_length_b 8.410
_cell_length_c 9.547
_cell_angle_alpha 116.13
_cell_angle_beta 98.64
_cell_angle_gamma 90.00
_symmetry_space_group_name_H-M 'P 1'
_symmetry_Int_Tables_number 1
loop_
_symmetry_equiv_pos_as_xyz
'x,y,z'
loop_
_atom_site_label
_atom_site_fract_x
_atom_site_fract_y
_atom_site_fract_z
Ga1 0.500 0.000 0.000
Zn1 0.143 0.143 0.286
Ga2 0.815 0.513 0.631
Ga3 0.185 0.882 0.369
Al1 0.000 0.726 0.000
Ga4 0.185 0.487 0.369
Al2 0.587 0.587 0.174
Zn2 0.857 0.857 0.714
Al3 0.413 0.413 0.826
Ga5 0.815 0.118 0.631
Al4 0.000 0.274 0.000
# calculated formation energy	0.09	eV per atom
# space group	No. 71

(7)
# Al7Zn2Ga2 PBE optimized geometry
data_Al7Zn2Ga2
_chemical_formula_sum 'Al7 Zn2 Ga2'
_cell_length_a 4.957
_cell_length_b 6.428
_cell_length_c 6.428
_cell_angle_alpha 78.63
_cell_angle_beta 95.74
_cell_angle_gamma 95.74
_symmetry_space_group_name_H-M 'P 1'
_symmetry_Int_Tables_number 1
loop_
_symmetry_equiv_pos_as_xyz
'x,y,z'
loop_
_atom_site_label
_atom_site_fract_x
_atom_site_fract_y
_atom_site_fract_z
Ga1 0.745 0.238 0.238
Zn1 0.500 0.799 0.201
Al1 0.760 0.604 0.956
Al2 0.240 0.044 0.396
Al3 0.767 0.547 0.547
Al4 0.240 0.396 0.044
Zn2 0.500 0.201 0.799
Al5 0.760 0.956 0.604
Ga2 0.255 0.762 0.762
Al6 0.000 0.000 0.000
Al7 0.233 0.453 0.453
# calculated formation energy	0.11	eV per atom
# space group	No. 12

(8)
# AlZnGa2 PBE optimized geometry
data_AlZnGa2
_chemical_formula_sum 'Al1 Zn1 Ga2'
_cell_length_a 2.851
_cell_length_b 2.851
_cell_length_c 8.472
_cell_angle_alpha 90.00
_cell_angle_beta 90.00
_cell_angle_gamma 90.00
_symmetry_space_group_name_H-M 'P 1'
_symmetry_Int_Tables_number 1
loop_
_symmetry_equiv_pos_as_xyz
'x,y,z'
loop_
_atom_site_label
_atom_site_fract_x
_atom_site_fract_y
_atom_site_fract_z
Zn1 0.500 0.500 0.000
Ga1 0.000 0.000 0.243
Al1 0.500 0.500 0.500
Ga2 0.000 0.000 0.757
# calculated formation energy	0.03	eV per atom
# space group	No. 123

(9)
# Al2Zn2Ga3 PBE optimized geometry
data_Al2Zn2Ga3
_chemical_formula_sum 'Al2 Zn2 Ga3'
_cell_length_a 3.117
_cell_length_b 6.475
_cell_length_c 6.496
_cell_angle_alpha 104.07
_cell_angle_beta 89.98
_cell_angle_gamma 103.46
_symmetry_space_group_name_H-M 'P 1'
_symmetry_Int_Tables_number 1
loop_
_symmetry_equiv_pos_as_xyz
'x,y,z'
loop_
_atom_site_label
_atom_site_fract_x
_atom_site_fract_y
_atom_site_fract_z
Ga1 0.704 0.405 0.215
Ga2 0.000 0.000 0.000
Al1 0.389 0.774 0.225
Zn1 0.091 0.178 0.425
Zn2 0.909 0.822 0.575
Ga3 0.296 0.595 0.785
Al2 0.611 0.226 0.775
# calculated formation energy	0.06	eV per atom
# space group	No. 2

(10)
# AlZn2Ga2 PBE optimized geometry
data_AlZn2Ga2
_chemical_formula_sum 'Al2 Zn4 Ga4'
_cell_length_a 7.989
_cell_length_b 7.989
_cell_length_c 2.758
_cell_angle_alpha 90.00
_cell_angle_beta 90.00
_cell_angle_gamma 90.00
_symmetry_space_group_name_H-M 'P 1'
_symmetry_Int_Tables_number 1
loop_
_symmetry_equiv_pos_as_xyz
'x,y,z'
loop_
_atom_site_label
_atom_site_fract_x
_atom_site_fract_y
_atom_site_fract_z
Zn1 0.166 0.666 0.500
Zn2 0.334 0.166 0.500
Zn3 0.834 0.334 0.500
Ga1 0.868 0.632 0.000
Zn4 0.666 0.834 0.500
Al1 0.000 0.000 0.000
Al2 0.500 0.500 0.000
Ga2 0.132 0.368 0.000
Ga3 0.368 0.868 0.000
Ga4 0.632 0.132 0.000
# calculated formation energy	0.13	eV per atom
# space group	No. 127

(11)
# Al3Zn2Ga PBE optimized geometry
data_Al3Zn2Ga
_chemical_formula_sum 'Al6 Zn4 Ga2'
_cell_length_a 4.094
_cell_length_b 5.626
_cell_length_c 8.996
_cell_angle_alpha 108.10
_cell_angle_beta 90.00
_cell_angle_gamma 90.00
_symmetry_space_group_name_H-M 'P 1'
_symmetry_Int_Tables_number 1
loop_
_symmetry_equiv_pos_as_xyz
'x,y,z'
loop_
_atom_site_label
_atom_site_fract_x
_atom_site_fract_y
_atom_site_fract_z
Zn1 0.750 0.414 0.084
Zn2 0.750 0.086 0.416
Ga1 0.750 0.250 0.750
Al1 0.250 0.084 0.918
Al2 0.750 0.916 0.082
Ga2 0.250 0.750 0.250
Al3 0.250 0.250 0.250
Zn3 0.250 0.914 0.584
Zn4 0.250 0.586 0.916
Al4 0.250 0.416 0.582
Al5 0.750 0.584 0.418
Al6 0.750 0.750 0.750
# calculated formation energy	0.03	eV per atom
# space group	No. 12

(12)
# Al8Zn5Ga PBE optimized geometry
data_Al8Zn5Ga
_chemical_formula_sum 'Al8 Zn5 Ga1'
_cell_length_a 6.795
_cell_length_b 6.795
_cell_length_c 6.795
_cell_angle_alpha 108.97
_cell_angle_beta 110.48
_cell_angle_gamma 108.97
_symmetry_space_group_name_H-M 'P 1'
_symmetry_Int_Tables_number 1
loop_
_symmetry_equiv_pos_as_xyz
'x,y,z'
loop_
_atom_site_label
_atom_site_fract_x
_atom_site_fract_y
_atom_site_fract_z
Zn1 0.276 0.083 0.978
Al1 0.138 0.695 0.069
Zn2 0.895 0.917 0.193
Al2 0.077 0.727 0.472
Al3 0.931 0.069 0.626
Al4 0.745 0.273 0.350
Al5 0.528 0.604 0.255
Zn3 0.500 0.000 0.500
Al6 0.557 0.931 0.862
Zn4 0.022 0.298 0.105
Al7 0.374 0.305 0.443
Zn5 0.807 0.702 0.724
Ga1 0.250 0.500 0.750
Al8 0.650 0.396 0.923
# calculated formation energy	0.11	eV per atom
# space group	No. 82

(13)
# Al2Zn4Ga PBE optimized geometry
data_Al2Zn4Ga
_chemical_formula_sum 'Al2 Zn4 Ga1'
_cell_length_a 4.996
_cell_length_b 4.996
_cell_length_c 7.102
_cell_angle_alpha 110.59
_cell_angle_beta 110.59
_cell_angle_gamma 90.00
_symmetry_space_group_name_H-M 'P 1'
_symmetry_Int_Tables_number 1
loop_
_symmetry_equiv_pos_as_xyz
'x,y,z'
loop_
_atom_site_label
_atom_site_fract_x
_atom_site_fract_y
_atom_site_fract_z
Zn1 0.000 0.500 0.000
Zn2 0.500 0.000 0.000
Al1 0.396 0.396 0.792
Ga1 0.000 0.000 0.000
Al2 0.604 0.604 0.208
Zn3 0.803 0.803 0.606
Zn4 0.197 0.197 0.394
# calculated formation energy	0.40	eV per atom
# space group	No. 139

(14)
# Al5ZnGa8 PBE optimized geometry
data_Al5ZnGa8
_chemical_formula_sum 'Al5 Zn1 Ga8'
_cell_length_a 6.983
_cell_length_b 6.983
_cell_length_c 6.983
_cell_angle_alpha 106.38
_cell_angle_beta 115.86
_cell_angle_gamma 106.38
_symmetry_space_group_name_H-M 'P 1'
_symmetry_Int_Tables_number 1
loop_
_symmetry_equiv_pos_as_xyz
'x,y,z'
loop_
_atom_site_label
_atom_site_fract_x
_atom_site_fract_y
_atom_site_fract_z
Ga1 0.393 0.341 0.451
Ga2 0.110 0.659 0.052
Ga3 0.642 0.408 0.926
Ga4 0.766 0.284 0.358
Al1 0.993 0.258 0.030
Ga5 0.549 0.942 0.890
Zn1 0.250 0.500 0.750
Ga6 0.948 0.058 0.607
Al2 0.500 0.000 0.500
Al3 0.970 0.963 0.227
Al4 0.773 0.742 0.736
Ga7 0.517 0.592 0.234
Al5 0.264 0.037 0.007
Ga8 0.074 0.716 0.483
# calculated formation energy	0.08	eV per atom
# space group	No. 82

(15)
# AlZn6Ga PBE optimized geometry
data_AlZn6Ga
_chemical_formula_sum 'Al1 Zn6 Ga1'
_cell_length_a 3.974
_cell_length_b 3.974
_cell_length_c 7.962
_cell_angle_alpha 90.00
_cell_angle_beta 90.00
_cell_angle_gamma 90.00
_symmetry_space_group_name_H-M 'P 1'
_symmetry_Int_Tables_number 1
loop_
_symmetry_equiv_pos_as_xyz
'x,y,z'
loop_
_atom_site_label
_atom_site_fract_x
_atom_site_fract_y
_atom_site_fract_z
Zn1 0.000 0.500 0.754
Zn2 0.500 0.000 0.246
Zn3 0.000 0.500 0.246
Zn4 0.500 0.000 0.754
Zn5 0.500 0.500 0.000
Al1 0.000 0.000 0.000
Ga1 0.000 0.000 0.500
Zn6 0.500 0.500 0.500
# calculated formation energy	0.03	eV per atom
# space group	No. 123

(16)
# Al12Zn3Ga PBE optimized geometry
data_Al12Zn3Ga
_chemical_formula_sum 'Al12 Zn3 Ga1'
_cell_length_a 4.091
_cell_length_b 4.091
_cell_length_c 15.660
_cell_angle_alpha 90.00
_cell_angle_beta 90.00
_cell_angle_gamma 90.00
_symmetry_space_group_name_H-M 'P 1'
_symmetry_Int_Tables_number 1
loop_
_symmetry_equiv_pos_as_xyz
'x,y,z'
loop_
_atom_site_label
_atom_site_fract_x
_atom_site_fract_y
_atom_site_fract_z
Al1 0.500 0.500 0.747
Al2 0.500 0.500 0.000
Al3 0.500 0.000 0.128
Al4 0.000 0.500 0.128
Al5 0.000 0.500 0.872
Ga1 0.000 0.000 0.000
Zn1 0.000 0.000 0.500
Al6 0.500 0.000 0.376
Al7 0.500 0.000 0.624
Al8 0.000 0.500 0.376
Zn2 0.000 0.000 0.749
Al9 0.500 0.500 0.500
Al10 0.500 0.000 0.872
Al11 0.500 0.500 0.253
Zn3 0.000 0.000 0.251
Al12 0.000 0.500 0.624
# calculated formation energy	0.02	eV per atom
# space group	No. 123

(17)
# AlZnGa2 PBE optimized geometry
data_AlZnGa2
_chemical_formula_sum 'Al2 Zn2 Ga4'
_cell_length_a 7.405
_cell_length_b 7.405
_cell_length_c 5.904
_cell_angle_alpha 51.16
_cell_angle_beta 51.16
_cell_angle_gamma 90.00
_symmetry_space_group_name_H-M 'P 1'
_symmetry_Int_Tables_number 1
loop_
_symmetry_equiv_pos_as_xyz
'x,y,z'
loop_
_atom_site_label
_atom_site_fract_x
_atom_site_fract_y
_atom_site_fract_z
Al1 0.500 0.500 0.000
Ga1 0.875 0.884 0.750
Ga2 0.634 0.125 0.250
Zn1 0.750 0.250 0.500
Zn2 0.000 0.000 0.000
Al2 0.250 0.750 0.500
Ga3 0.375 0.366 0.750
Ga4 0.116 0.625 0.250
# calculated formation energy	0.15	eV per atom
# space group	No. 122

(18)
# Al2Zn2Ga PBE optimized geometry
data_Al2Zn2Ga
_chemical_formula_sum 'Al2 Zn2 Ga1'
_cell_length_a 2.806
_cell_length_b 5.011
_cell_length_c 8.527
_cell_angle_alpha 107.09
_cell_angle_beta 130.35
_cell_angle_gamma 90.00
_symmetry_space_group_name_H-M 'P 1'
_symmetry_Int_Tables_number 1
loop_
_symmetry_equiv_pos_as_xyz
'x,y,z'
loop_
_atom_site_label
_atom_site_fract_x
_atom_site_fract_y
_atom_site_fract_z
Al1 0.641 0.715 0.429
Ga1 0.500 0.500 0.000
Zn1 0.886 0.906 0.812
Al2 0.359 0.285 0.571
Zn2 0.114 0.094 0.188
# calculated formation energy	0.07	eV per atom
# space group	No. 12

(19)
# Al4ZnGa3 PBE optimized geometry
data_Al4ZnGa3
_chemical_formula_sum 'Al4 Zn1 Ga3'
_cell_length_a 6.123
_cell_length_b 6.123
_cell_length_c 6.123
_cell_angle_alpha 78.13
_cell_angle_beta 129.22
_cell_angle_gamma 124.99
_symmetry_space_group_name_H-M 'P 1'
_symmetry_Int_Tables_number 1
loop_
_symmetry_equiv_pos_as_xyz
'x,y,z'
loop_
_atom_site_label
_atom_site_fract_x
_atom_site_fract_y
_atom_site_fract_z
Zn1 0.274 0.500 0.774
Ga1 0.608 0.285 0.893
Al1 0.109 0.232 0.341
Ga2 0.786 0.000 0.786
Al2 0.083 0.754 0.328
Ga3 0.608 0.715 0.324
Al3 0.574 0.246 0.328
Al4 0.109 0.768 0.877
# calculated formation energy	0.07	eV per atom
# space group	No. 44

(20)
# Al2Zn5Ga2 PBE optimized geometry
data_Al2Zn5Ga2
_chemical_formula_sum 'Al4 Zn10 Ga4'
_cell_length_a 5.071
_cell_length_b 8.790
_cell_length_c 8.500
_cell_angle_alpha 121.14
_cell_angle_beta 107.36
_cell_angle_gamma 90.00
_symmetry_space_group_name_H-M 'P 1'
_symmetry_Int_Tables_number 1
loop_
_symmetry_equiv_pos_as_xyz
'x,y,z'
loop_
_atom_site_label
_atom_site_fract_x
_atom_site_fract_y
_atom_site_fract_z
Zn1 0.700 0.099 0.900
Zn2 0.852 0.648 0.500
Zn3 0.786 0.257 0.718
Ga1 0.000 0.898 0.000
Zn4 0.432 0.757 0.718
Al1 0.103 0.502 0.706
Zn5 0.214 0.540 0.282
Al2 0.897 0.295 0.294
Al3 0.103 0.002 0.706
Ga2 0.500 0.398 0.000
Al4 0.897 0.795 0.294
Ga3 0.500 0.898 0.500
Ga4 0.500 0.398 0.500
Zn6 0.568 0.040 0.282
Zn7 0.148 0.148 0.500
Zn8 0.700 0.599 0.900
Zn9 0.300 0.198 0.100
Zn10 0.300 0.698 0.100
# calculated formation energy	0.07	eV per atom
# space group	No. 74